No. 1
# Pr5Bi2Pb2

Pr5Bi2Pb2 after structural relaxation (PBE, OQMD via LeMat-Bulk).

Unit cell a=9.196 b=9.196 c=8.629 alpha=90.00 beta=90.00 gamma=55.61
Element x y z (fractional)
Pr1 0.033 0.696 0.335
Pr2 0.467 0.804 0.835
Pr3 0.500 0.500 0.500
Bi1 0.203 0.203 0.000
Pr4 0.304 0.967 0.335
Pr5 0.696 0.033 0.665
Pr6 0.804 0.467 0.165
Pr7 0.967 0.304 0.665
Pb1 0.865 0.135 0.365
Pb2 0.365 0.635 0.135
Bi2 0.703 0.703 0.500
Pr8 0.196 0.533 0.835
Pb3 0.635 0.365 0.865
Pr9 0.533 0.196 0.165
Pr10 0.000 0.000 0.000
Bi3 0.297 0.297 0.500
Pb4 0.135 0.865 0.635
Bi4 0.797 0.797 0.000

Results
ρ, g cm⁻³: 8.5
DFT total energy, eV for the cell shown: -92.38

---

No. 2
# BaSrGa4Pt2

BaSrGa4Pt2 after structural relaxation (PBE, OQMD via LeMat-Bulk).

Unit cell a=7.428 b=6.186 c=6.186 alpha=40.74 beta=90.00 gamma=90.00
Element x y z (fractional)
Pt1 0.000 0.219 0.219
Pt2 0.500 0.782 0.782
Sr1 0.500 0.058 0.058
Ga1 0.688 0.332 0.332
Ba1 0.000 0.944 0.944
Ga2 0.312 0.332 0.332
Ga3 0.196 0.667 0.667
Ga4 0.804 0.667 0.667

Results
ρ, g cm⁻³: 8.0
DFT total energy, eV for the cell shown: -33.51

---

No. 3
# ErAgPbSe3

ErAgPbSe3 after structural relaxation (PBE, OQMD via LeMat-Bulk).

Unit cell a=10.715 b=4.125 c=13.716 alpha=90.00 beta=90.00 gamma=90.00
Element x y z (fractional)
Pb1 0.723 0.750 0.008
Se1 0.032 0.250 0.387
Se2 0.968 0.750 0.613
Er1 0.519 0.250 0.742
Se3 0.766 0.250 0.842
Se4 0.468 0.750 0.887
Se5 0.266 0.250 0.658
Pb2 0.777 0.250 0.508
Pb3 0.277 0.250 0.992
Er2 0.981 0.750 0.242
Er3 0.481 0.750 0.258
Pb4 0.223 0.750 0.492
Se6 0.234 0.750 0.158
Ag1 0.238 0.250 0.282
Se7 0.430 0.250 0.396
Ag2 0.262 0.750 0.782
Er4 0.019 0.250 0.758
Se8 0.734 0.750 0.342
Ag3 0.762 0.750 0.718
Se9 0.532 0.250 0.113
Se10 0.070 0.750 0.896
Se11 0.930 0.250 0.104
Ag4 0.738 0.250 0.218
Se12 0.570 0.750 0.604

Results
ρ, g cm⁻³: 7.9
DFT total energy, eV for the cell shown: -109.19

---

No. 4
# LiGeAu2

LiGeAu2 after structural relaxation (PBE, OQMD via LeMat-Bulk).

Unit cell a=4.603 b=4.603 c=7.875 alpha=90.00 beta=90.00 gamma=120.00
Element x y z (fractional)
Li1 0.000 0.000 0.250
Au1 0.667 0.333 0.923
Ge1 0.667 0.333 0.250
Au2 0.667 0.333 0.577
Ge2 0.333 0.667 0.750
Au3 0.333 0.667 0.423
Li2 0.000 0.000 0.750
Au4 0.333 0.667 0.077

Results
ρ, g cm⁻³: 10.9
DFT total energy, eV for the cell shown: -27.73

---

No. 5
# HoHf2Al3Cu2Ni

HoHf2Al3Cu2Ni after structural relaxation (PBE, OQMD via LeMat-Bulk).

Unit cell a=4.006 b=6.607 c=6.607 alpha=120.11 beta=90.00 gamma=90.00
Element x y z (fractional)
Ho1 0.000 0.587 0.587
Al1 0.500 0.005 0.760
Al2 0.500 0.238 0.238
Hf1 0.000 0.407 0.997
Cu1 0.500 0.326 0.668
Hf2 0.000 0.997 0.407
Al3 0.500 0.760 0.005
Ni1 0.000 0.012 0.012
Cu2 0.500 0.668 0.326

Results
ρ, g cm⁻³: 8.7
DFT total energy, eV for the cell shown: -53.02

---

No. 6
# LiFeGeOs

LiFeGeOs after structural relaxation (PBE, OQMD via LeMat-Bulk).

Unit cell a=4.137 b=4.137 c=4.137 alpha=60.00 beta=60.00 gamma=60.00
Element x y z (fractional)
Ge1 0.000 0.000 0.000
Li1 0.500 0.500 0.500
Os1 0.250 0.250 0.250
Fe1 0.750 0.750 0.750

Results
ρ, g cm⁻³: 10.8
DFT total energy, eV for the cell shown: -25.65

---

No. 7
# HfScNiSb

HfScNiSb after structural relaxation (PBE, OQMD via LeMat-Bulk).

Unit cell a=4.757 b=4.757 c=4.757 alpha=60.00 beta=60.00 gamma=60.00
Element x y z (fractional)
Sb1 0.000 0.000 0.000
Hf1 0.500 0.500 0.500
Ni1 0.750 0.750 0.750
Sc1 0.250 0.250 0.250

Results
ρ, g cm⁻³: 8.8
DFT total energy, eV for the cell shown: -25.73

---

No. 8
# La2PrNi9

La2PrNi9 after structural relaxation (PBE, OQMD via LeMat-Bulk).

Unit cell a=8.770 b=8.770 c=8.770 alpha=33.27 beta=33.27 gamma=33.27
Element x y z (fractional)
Pr1 0.000 0.000 0.000
Ni1 0.082 0.580 0.580
Ni2 0.420 0.918 0.420
Ni3 0.332 0.332 0.332
Ni4 0.580 0.082 0.580
Ni5 0.420 0.420 0.918
Ni6 0.580 0.580 0.082
La1 0.139 0.139 0.139
La2 0.861 0.861 0.861
Ni7 0.918 0.420 0.420
Ni8 0.668 0.668 0.668
Ni9 0.500 0.500 0.500

Results
Formation enthalpy at 0 K, kcal/mol of atoms: -7.4
ρ, g cm⁻³: 8.7
DFT total energy, eV for the cell shown: -68.58

---

No. 9
# CoTcSn

CoTcSn after structural relaxation (PBE, OQMD via LeMat-Bulk).

Unit cell a=4.149 b=4.149 c=4.149 alpha=60.00 beta=60.00 gamma=60.00
Element x y z (fractional)
Sn1 0.250 0.250 0.250
Co1 0.000 0.000 0.000
Tc1 0.750 0.750 0.750

Results
ρ, g cm⁻³: 9.1
DFT total energy, eV for the cell shown: -20.90

---

No. 10
# Ta4PbAuC2

Ta4PbAuC2 after structural relaxation (PBE, OQMD via LeMat-Bulk).

Unit cell a=3.217 b=3.217 c=14.051 alpha=90.00 beta=90.00 gamma=120.00
Element x y z (fractional)
C1 0.333 0.667 0.759
Ta1 0.000 0.000 0.841
Ta2 0.667 0.333 0.325
Au1 0.667 0.333 0.000
Ta3 0.000 0.000 0.159
Ta4 0.667 0.333 0.675
Pb1 0.000 0.000 0.500
C2 0.333 0.667 0.241

Results
ρ, g cm⁻³: 15.2
DFT total energy, eV for the cell shown: -75.20

---

No. 11
# LaMgAlPt

LaMgAlPt after structural relaxation (PBE, OQMD via LeMat-Bulk).

Unit cell a=4.906 b=4.906 c=4.906 alpha=60.00 beta=60.00 gamma=60.00
Element x y z (fractional)
Mg1 0.750 0.750 0.750
La1 0.000 0.000 0.000
Al1 0.500 0.500 0.500
Pt1 0.250 0.250 0.250

Results
ρ, g cm⁻³: 7.7
DFT total energy, eV for the cell shown: -18.56

---

No. 12
# Re2SCl12

Re2SCl12 after structural relaxation (PBE, OQMD via LeMat-Bulk).

Unit cell a=8.379 b=10.659 c=8.725 alpha=90.00 beta=92.46 gamma=90.00
Last column: magnetic moment on the atom in μB.
Element x y z (fractional)
Cl1 0.948 0.904 0.327  0.05
Cl2 0.386 0.595 0.794  0.08
Cl3 0.804 0.250 0.885  0.04
Cl4 0.664 0.088 0.585  0.05
S1 0.176 0.250 0.937  0.01
Cl5 0.386 0.905 0.794  0.08
S2 0.824 0.750 0.063  0.01
Cl6 0.595 0.750 0.124  0.01
Cl7 0.828 0.899 0.918  0.01
Cl8 0.367 0.250 0.425  0.08
Cl9 0.924 0.250 0.360  0.05
Cl10 0.196 0.750 0.115  0.04
Cl11 0.633 0.750 0.575  0.08
Cl12 0.828 0.601 0.918  0.01
Cl13 0.664 0.412 0.585  0.05
Cl14 0.948 0.596 0.327  0.05
Cl15 0.405 0.250 0.876  0.01
Cl16 0.172 0.399 0.082  0.01
Cl17 0.076 0.750 0.640  0.05
Re1 0.364 0.750 0.611  1.47
Cl18 0.336 0.912 0.415  0.05
Re2 0.860 0.250 0.625  1.51
Cl19 0.336 0.588 0.415  0.05
Cl20 0.614 0.405 0.206  0.08
Re3 0.636 0.250 0.389  1.47
Cl21 0.052 0.096 0.673  0.05
Cl22 0.172 0.101 0.082  0.01
Re4 0.140 0.750 0.375  1.51
Cl23 0.052 0.404 0.673  0.05
Cl24 0.614 0.095 0.206  0.08

Results
ρ, g cm⁻³: 3.5
DFT total energy, eV for the cell shown: -115.99